HgPbW2: optimized geometry, PBE-GGA.

Output
- energy relative to the elements (meV/atom) = 1241.8
- ΔE to the lowest computed polymorph (meV per atom) = 641
- calculated density (g/cm³) = 16.53
- raw total energy (eV per atom) = -6.24

Unit cell a=4.1004 b=4.1004 c=4.6346 alpha=90.00 beta=90.00 gamma=90.00
Atoms (fractional coordinates):
Hg  0.0000  0.0000  0.0000
Pb  0.5000  0.5000  0.0000
W  0.0000  0.5000  0.5000
W  0.5000  0.0000  0.5000

---

Hg2PbW: optimized geometry, PBE-GGA.

Output
- energy relative to the elements (meV/atom) = 832.5
- calculated density (g/cm³) = 14.75
- raw total energy (eV per atom) = -3.48

Unit cell a=3.0741 b=5.2188 c=5.7575 alpha=90.00 beta=105.15 gamma=90.00
Atoms (fractional coordinates):
Hg  0.1359  0.0000  0.2717
Hg  0.8641  0.0000  0.7283
Pb  0.5000  0.5000  0.0000
W  0.5000  0.5000  0.5000

---

Hg2PbW: optimized geometry, PBE-GGA.

Output
- energy relative to the elements (meV/atom) = 634.9
- calculated density (g/cm³) = 14.05
- raw total energy (eV per atom) = -3.68

Unit cell a=3.0654 b=3.0654 c=34.5072 alpha=90.00 beta=90.00 gamma=120.00
Atoms (fractional coordinates):
Hg  0.0000  0.0000  0.0000
Hg  0.0000  0.0000  0.2461
Hg  0.3333  0.6667  0.6667
Hg  0.3333  0.6667  0.9128
Hg  0.6667  0.3333  0.3333
Hg  0.6667  0.3333  0.5794
Pb  0.0000  0.0000  0.4771
Pb  0.3333  0.6667  0.1437
Pb  0.6667  0.3333  0.8104
W  0.0000  0.0000  0.7363
W  0.3333  0.6667  0.4030
W  0.6667  0.3333  0.0696

---

Hg2PbW: optimized geometry, PBE-GGA.

Output
- energy relative to the elements (meV/atom) = 717.4
- calculated density (g/cm³) = 14.45
- raw total energy (eV per atom) = -3.60

Unit cell a=3.0350 b=5.4772 c=10.9539 alpha=90.00 beta=90.00 gamma=90.00
Atoms (fractional coordinates):
Hg  0.0000  0.0000  0.2240
Hg  0.0000  0.0000  0.7760
Hg  0.5000  0.5000  0.2240
Hg  0.5000  0.5000  0.7760
Pb  0.0000  0.5000  0.5000
Pb  0.5000  0.0000  0.5000
W  0.0000  0.5000  0.0000
W  0.5000  0.0000  0.0000

---

YHg2Pb: optimized geometry, PBE-GGA.

Output
- energy relative to the elements (meV/atom) = -240.8
- calculated density (g/cm³) = 10.51
- raw total energy (eV per atom) = -2.93

Unit cell a=3.6829 b=5.4901 c=5.4477 alpha=90.00 beta=91.41 gamma=90.00
Atoms (fractional coordinates):
Y  0.0000  0.0000  0.0000
Hg  0.2547  0.5000  0.7569
Hg  0.7453  0.5000  0.2431
Pb  0.5000  0.0000  0.5000

---

YHgPb: optimized geometry, PBE-GGA.

Output
- energy relative to the elements (meV/atom) = -391.1
- ΔE to the lowest computed polymorph (meV per atom) = 3
- calculated density (g/cm³) = 10.17
- raw total energy (eV per atom) = -3.88

Unit cell a=4.7009 b=15.7383 c=4.3854 alpha=90.00 beta=90.00 gamma=90.00
Atoms (fractional coordinates):
Y  0.0000  0.0993  0.2500
Y  0.0000  0.9007  0.7500
Y  0.5000  0.4007  0.7500
Y  0.5000  0.5993  0.2500
Hg  0.0000  0.2562  0.7500
Hg  0.0000  0.7438  0.2500
Hg  0.5000  0.2438  0.2500
Hg  0.5000  0.7562  0.7500
Pb  0.0000  0.4228  0.2500
Pb  0.0000  0.5772  0.7500
Pb  0.5000  0.0772  0.7500
Pb  0.5000  0.9228  0.2500

---

YHgPb: optimized geometry, PBE-GGA.

Output
- energy relative to the elements (meV/atom) = -315.0
- ΔE to the lowest computed polymorph (meV per atom) = 79
- calculated density (g/cm³) = 9.98
- raw total energy (eV per atom) = -3.81

Unit cell a=4.6353 b=4.6353 c=7.6932 alpha=90.00 beta=90.00 gamma=90.00
Atoms (fractional coordinates):
Y  0.2500  0.2500  0.2050
Y  0.7500  0.7500  0.7950
Hg  0.2500  0.7500  0.5000
Hg  0.7500  0.2500  0.5000
Pb  0.2500  0.2500  0.7978
Pb  0.7500  0.7500  0.2022

---

Y5HgPb6: optimized geometry, PBE-GGA.

Output
- energy relative to the elements (meV/atom) = -427.1
- calculated density (g/cm³) = 9.25
- raw total energy (eV per atom) = -5.00

Unit cell a=9.1560 b=9.1560 c=9.1560 alpha=148.76 beta=120.38 gamma=68.85
Atoms (fractional coordinates):
Y  0.0000  0.0000  0.0000
Y  0.1727  0.6727  0.5000
Y  0.3604  0.3604  0.0000
Y  0.6396  0.6396  0.0000
Y  0.8273  0.3273  0.5000
Hg  0.5000  0.0000  0.5000
Pb  0.0731  0.8289  0.2442
Pb  0.2309  0.5000  0.7309
Pb  0.4153  0.1711  0.2442
Pb  0.5847  0.8289  0.7558
Pb  0.7691  0.5000  0.2691
Pb  0.9269  0.1711  0.7558

---

Y2Hg3Pb3: optimized geometry, PBE-GGA.

Output
- energy relative to the elements (meV/atom) = -344.2
- calculated density (g/cm³) = 11.02
- raw total energy (eV per atom) = -3.46

Unit cell a=4.7485 b=4.8081 c=9.2444 alpha=90.00 beta=90.00 gamma=90.00
Atoms (fractional coordinates):
Y  0.0000  0.0000  0.2473
Y  0.0000  0.0000  0.7527
Hg  0.0000  0.5000  0.0000
Hg  0.5000  0.5000  0.2418
Hg  0.5000  0.5000  0.7582
Pb  0.0000  0.5000  0.5000
Pb  0.5000  0.0000  0.0000
Pb  0.5000  0.0000  0.5000

---

YHg2Pb: optimized geometry, PBE-GGA.

Output
- energy relative to the elements (meV/atom) = -257.2
- calculated density (g/cm³) = 11.08
- raw total energy (eV per atom) = -2.95

Unit cell a=4.5798 b=4.5798 c=9.9625 alpha=90.00 beta=90.00 gamma=90.00
Atoms (fractional coordinates):
Y  0.0000  0.0000  0.0000
Y  0.5000  0.5000  0.5000
Hg  0.0000  0.0000  0.5000
Hg  0.0000  0.5000  0.7500
Hg  0.5000  0.0000  0.2500
Hg  0.5000  0.5000  0.0000
Pb  0.0000  0.5000  0.2500
Pb  0.5000  0.0000  0.7500

---

YHgPb: optimized geometry, PBE-GGA.

Output
- energy relative to the elements (meV/atom) = -164.9
- ΔE to the lowest computed polymorph (meV per atom) = 229
- calculated density (g/cm³) = 8.76
- raw total energy (eV per atom) = -3.66

Unit cell a=7.2203 b=7.2203 c=7.2203 alpha=90.00 beta=90.00 gamma=90.00
Atoms (fractional coordinates):
Y  0.0000  0.0000  0.0000
Y  0.0000  0.5000  0.5000
Y  0.5000  0.0000  0.5000
Y  0.5000  0.5000  0.0000
Hg  0.2500  0.2500  0.2500
Hg  0.2500  0.7500  0.7500
Hg  0.7500  0.2500  0.7500
Hg  0.7500  0.7500  0.2500
Pb  0.2500  0.2500  0.7500
Pb  0.2500  0.7500  0.2500
Pb  0.7500  0.2500  0.2500
Pb  0.7500  0.7500  0.7500

---

Y3Hg2Pb2: optimized geometry, PBE-GGA.

Output
- energy relative to the elements (meV/atom) = -444.1
- calculated density (g/cm³) = 9.25
- raw total energy (eV per atom) = -4.36

Unit cell a=11.6870 b=4.6630 c=7.4023 alpha=90.00 beta=105.67 gamma=90.00
Atoms (fractional coordinates):
Y  0.0000  0.0000  0.0000
Y  0.1552  0.0000  0.6348
Y  0.3448  0.5000  0.3652
Y  0.5000  0.5000  0.0000
Y  0.6552  0.5000  0.6348
Y  0.8448  0.0000  0.3652
Hg  0.1760  0.5000  0.9548
Hg  0.3240  0.0000  0.0452
Hg  0.6760  0.0000  0.9548
Hg  0.8240  0.5000  0.0452
Pb  0.0681  0.5000  0.3294
Pb  0.4319  0.0000  0.6706
Pb  0.5681  0.0000  0.3294
Pb  0.9319  0.5000  0.6706

---

YHg4Pb: optimized geometry, PBE-GGA.

Output
- energy relative to the elements (meV/atom) = -55.3
- ΔE to the lowest computed polymorph (meV per atom) = 153
- calculated density (g/cm³) = 11.65
- raw total energy (eV per atom) = -1.95

Unit cell a=6.0491 b=6.0491 c=6.0491 alpha=60.00 beta=60.00 gamma=60.00
Atoms (fractional coordinates):
Y  0.0000  0.0000  0.0000
Hg  0.1249  0.6250  0.6250
Hg  0.6250  0.1249  0.6250
Hg  0.6250  0.6250  0.1249
Hg  0.6250  0.6250  0.6250
Pb  0.2500  0.2500  0.2500

---

YHgPb: optimized geometry, PBE-GGA.

Output
- energy relative to the elements (meV/atom) = -300.1
- ΔE to the lowest computed polymorph (meV per atom) = 94
- calculated density (g/cm³) = 10.06
- raw total energy (eV per atom) = -3.79

Unit cell a=3.7280 b=3.7280 c=11.7977 alpha=90.00 beta=90.00 gamma=90.00
Atoms (fractional coordinates):
Y  0.0000  0.0000  0.0000
Y  0.5000  0.5000  0.5000
Hg  0.0000  0.0000  0.6493
Hg  0.5000  0.5000  0.1493
Pb  0.0000  0.0000  0.3150
Pb  0.5000  0.5000  0.8150

---

Y3Hg5Pb: optimized geometry, PBE-GGA.

Output
- energy relative to the elements (meV/atom) = -404.0
- calculated density (g/cm³) = 10.75
- raw total energy (eV per atom) = -3.14

Unit cell a=9.0474 b=9.0474 c=6.4381 alpha=90.00 beta=90.00 gamma=120.00
Atoms (fractional coordinates):
Y  0.0000  0.3394  0.2500
Y  0.0000  0.6606  0.7500
Y  0.3394  0.0000  0.2500
Y  0.3394  0.3394  0.7500
Y  0.6606  0.0000  0.7500
Y  0.6606  0.6606  0.2500
Hg  0.0000  0.3346  0.7500
Hg  0.0000  0.6654  0.2500
Hg  0.3333  0.6667  0.0000
Hg  0.3333  0.6667  0.5000
Hg  0.3346  0.0000  0.7500
Hg  0.3346  0.3346  0.2500
Hg  0.6654  0.0000  0.2500
Hg  0.6654  0.6654  0.7500
Hg  0.6667  0.3333  0.0000
Hg  0.6667  0.3333  0.5000
Pb  0.0000  0.0000  0.0000
Pb  0.0000  0.0000  0.5000

---

Y6Hg4Pb7: optimized geometry, PBE-GGA.

Output
- energy relative to the elements (meV/atom) = -153.5
- calculated density (g/cm³) = 9.24
- raw total energy (eV per atom) = -4.03

Unit cell a=8.6630 b=8.6630 c=8.6630 alpha=109.47 beta=109.47 gamma=109.47
Atoms (fractional coordinates):
Y  0.0000  0.2955  0.2955
Y  0.0000  0.7045  0.7045
Y  0.2955  0.0000  0.2955
Y  0.2955  0.2955  0.0000
Y  0.7045  0.0000  0.7045
Y  0.7045  0.7045  0.0000
Hg  0.0000  0.0000  0.5000
Hg  0.0000  0.5000  0.0000
Hg  0.5000  0.0000  0.0000
Hg  0.5000  0.5000  0.5000
Pb  0.0000  0.0000  0.0000
Pb  0.2500  0.5000  0.7500
Pb  0.2500  0.7500  0.5000
Pb  0.5000  0.2500  0.7500
Pb  0.5000  0.7500  0.2500
Pb  0.7500  0.2500  0.5000
Pb  0.7500  0.5000  0.2500

---

Y4Hg3Pb: optimized geometry, PBE-GGA.

Output
- energy relative to the elements (meV/atom) = -496.9
- calculated density (g/cm³) = 9.12
- raw total energy (eV per atom) = -4.31

Unit cell a=3.7857 b=5.2729 c=10.6258 alpha=90.00 beta=90.00 gamma=90.00
Atoms (fractional coordinates):
Y  0.0000  0.0000  0.0000
Y  0.0000  0.0000  0.5000
Y  0.0000  0.5000  0.2434
Y  0.0000  0.5000  0.7566
Hg  0.5000  0.0000  0.2423
Hg  0.5000  0.0000  0.7577
Hg  0.5000  0.5000  0.0000
Pb  0.5000  0.5000  0.5000

---

Y2HgPb5: optimized geometry, PBE-GGA.

Output
- energy relative to the elements (meV/atom) = -239.8
- calculated density (g/cm³) = 10.18
- raw total energy (eV per atom) = -4.21

Unit cell a=9.2421 b=13.6878 c=3.6486 alpha=90.00 beta=90.00 gamma=90.00
Atoms (fractional coordinates):
Y  0.2427  0.1346  0.0000
Y  0.2573  0.6346  0.0000
Y  0.7427  0.3654  0.0000
Y  0.7573  0.8654  0.0000
Hg  0.0000  0.5000  0.5000
Hg  0.5000  0.0000  0.5000
Pb  0.0000  0.0000  0.5000
Pb  0.0079  0.7474  0.5000
Pb  0.2373  0.3863  0.0000
Pb  0.2627  0.8863  0.0000
Pb  0.4921  0.2474  0.5000
Pb  0.5000  0.5000  0.5000
Pb  0.5079  0.7526  0.5000
Pb  0.7373  0.1137  0.0000
Pb  0.7627  0.6137  0.0000
Pb  0.9921  0.2526  0.5000

---

YHg2Pb: optimized geometry, PBE-GGA.

Output
- energy relative to the elements (meV/atom) = -197.6
- calculated density (g/cm³) = 10.78
- raw total energy (eV per atom) = -2.89

Unit cell a=3.6253 b=4.5083 c=6.5718 alpha=90.00 beta=90.00 gamma=90.00
Atoms (fractional coordinates):
Y  0.0000  0.0000  0.0000
Hg  0.0000  0.0000  0.4828
Hg  0.5000  0.5000  0.2481
Pb  0.5000  0.5000  0.7521

---

Y4HgPb2: optimized geometry, PBE-GGA.

Output
- energy relative to the elements (meV/atom) = -97.0
- calculated density (g/cm³) = 6.69
- raw total energy (eV per atom) = -4.89

Unit cell a=5.4227 b=5.4227 c=16.3799 alpha=90.00 beta=90.00 gamma=90.00
Atoms (fractional coordinates):
Y  0.0000  0.0000  0.1809
Y  0.0000  0.0000  0.8191
Y  0.0000  0.5000  0.0000
Y  0.0000  0.5000  0.5000
Y  0.5000  0.0000  0.0000
Y  0.5000  0.0000  0.5000
Y  0.5000  0.5000  0.3191
Y  0.5000  0.5000  0.6809
Hg  0.0000  0.0000  0.0000
Hg  0.5000  0.5000  0.5000
Pb  0.0000  0.0000  0.3699
Pb  0.0000  0.0000  0.6301
Pb  0.5000  0.5000  0.1301
Pb  0.5000  0.5000  0.8699

---

Y4Hg5Pb: optimized geometry, PBE-GGA.

Output
- energy relative to the elements (meV/atom) = -421.6
- calculated density (g/cm³) = 9.95
- raw total energy (eV per atom) = -3.53

Unit cell a=3.7664 b=3.7664 c=18.4131 alpha=90.00 beta=90.00 gamma=90.00
Atoms (fractional coordinates):
Y  0.0000  0.0000  0.0995
Y  0.0000  0.0000  0.3005
Y  0.0000  0.0000  0.6995
Y  0.0000  0.0000  0.9005
Hg  0.5000  0.5000  0.0000
Hg  0.5000  0.5000  0.1953
Hg  0.5000  0.5000  0.3933
Hg  0.5000  0.5000  0.6067
Hg  0.5000  0.5000  0.8047
Pb  0.0000  0.0000  0.5000

---

YHg2Pb: optimized geometry, PBE-GGA.

Output
- energy relative to the elements (meV/atom) = -284.6
- calculated density (g/cm³) = 10.89
- raw total energy (eV per atom) = -2.98

Unit cell a=3.7214 b=3.7214 c=7.6799 alpha=90.00 beta=90.00 gamma=90.00
Atoms (fractional coordinates):
Y  0.0000  0.0000  0.0000
Hg  0.5000  0.5000  0.2375
Hg  0.5000  0.5000  0.7625
Pb  0.0000  0.0000  0.5000

---

YHg5Pb2: optimized geometry, PBE-GGA.

Output
- energy relative to the elements (meV/atom) = -114.0
- calculated density (g/cm³) = 11.72
- raw total energy (eV per atom) = -2.04

Unit cell a=7.8555 b=7.8555 c=6.9145 alpha=90.00 beta=90.00 gamma=90.00
Atoms (fractional coordinates):
Y  0.0000  0.0000  0.0000
Y  0.5000  0.5000  0.5000
Hg  0.0000  0.0000  0.5000
Hg  0.2500  0.2500  0.2500
Hg  0.2500  0.2500  0.7500
Hg  0.2500  0.7500  0.2500
Hg  0.2500  0.7500  0.7500
Hg  0.5000  0.5000  0.0000
Hg  0.7500  0.2500  0.2500
Hg  0.7500  0.2500  0.7500
Hg  0.7500  0.7500  0.2500
Hg  0.7500  0.7500  0.7500
Pb  0.0000  0.5000  0.0000
Pb  0.0000  0.5000  0.5000
Pb  0.5000  0.0000  0.0000
Pb  0.5000  0.0000  0.5000

---

Y2HgPb4: optimized geometry, PBE-GGA.

Output
- energy relative to the elements (meV/atom) = -302.5
- calculated density (g/cm³) = 9.59
- raw total energy (eV per atom) = -4.31

Unit cell a=7.8154 b=10.3875 c=5.1476 alpha=90.00 beta=90.00 gamma=90.00
Atoms (fractional coordinates):
Y  0.0000  0.2080  0.0000
Y  0.0000  0.7920  0.0000
Y  0.5000  0.2920  0.0000
Y  0.5000  0.7080  0.0000
Hg  0.0000  0.0000  0.5000
Hg  0.5000  0.5000  0.5000
Pb  0.1976  0.5000  0.0000
Pb  0.2500  0.2500  0.5000
Pb  0.2500  0.7500  0.5000
Pb  0.3024  0.0000  0.0000
Pb  0.6976  0.0000  0.0000
Pb  0.7500  0.2500  0.5000
Pb  0.7500  0.7500  0.5000
Pb  0.8024  0.5000  0.0000

---

Y2HgPb2: optimized geometry, PBE-GGA.

Output
- energy relative to the elements (meV/atom) = -356.3
- ΔE to the lowest computed polymorph (meV per atom) = 0
- calculated density (g/cm³) = 9.27
- raw total energy (eV per atom) = -4.49

Unit cell a=7.9576 b=7.9576 c=4.4878 alpha=90.00 beta=90.00 gamma=90.00
Atoms (fractional coordinates):
Y  0.1729  0.3271  0.0000
Y  0.3271  0.8271  0.0000
Y  0.6729  0.1729  0.0000
Y  0.8271  0.6729  0.0000
Hg  0.0000  0.0000  0.5000
Hg  0.5000  0.5000  0.5000
Pb  0.1345  0.6345  0.5000
Pb  0.3655  0.1345  0.5000
Pb  0.6345  0.8655  0.5000
Pb  0.8655  0.3655  0.5000